# 1
ScInTc: relaxed, GGA-PBE.

```
ScInTc
1.0
-0.6229 1.2083 3.0645
3.8387 -2.6680 1.8323
3.8429 5.3117 -3.1471
Tc Sc In
2 2 2
Direct
0.7569 0.1938 0.5139
0.2431 0.8062 0.4861
0.8873 0.6925 0.7746
0.1127 0.3075 0.2254
0.5795 0.7940 0.1590
0.4205 0.2060 0.8410
```

Summary:
Spin magnetization, μB per cell: 0.00
Calculated formation energy, eV per formula unit: -0.4
Calculated volume, Å³/f.u.: 58.9
Electronic total energy, eV/atom: -6.62
Mass density, g cm⁻³: 7.3

***

# 2
Zr2ScCu: relaxed, GGA-PBE.

```
Zr2ScCu
1.0
5.9935 -0.0037 0.0022
5.0925 3.1605 0.0022
1.9416 0.5529 4.3836
Sc Zr Cu
1 2 1
Direct
0.2500 0.2500 0.2500
0.4642 0.4642 0.5358
0.0358 0.0358 0.9642
0.7500 0.7500 0.7500
```

Summary:
Spin magnetization, μB per cell: 0.00
Calculated formation energy, eV per formula unit: -0.3
Calculated volume, Å³/f.u.: 83.1
Electronic total energy, eV/atom: -6.95
Mass density, g cm⁻³: 5.8